# 1
VASP calculation (PBE-GGA) on an optimized crystal structure of Th3TcC.

Cell and atoms, written as CIF:
```
data_Th3TcC
_space_group_name_H-M_alt 'P 1'
_space_group_IT_number 1
_cell_length_a 3.756
_cell_length_b 7.281
_cell_length_c 8.948
_cell_angle_alpha 89.83
_cell_angle_beta 90.00
_cell_angle_gamma 75.05
loop_
_space_group_symop_operation_xyz
'x,y,z'
loop_
_atom_site_label
_atom_site_fract_x
_atom_site_fract_y
_atom_site_fract_z
_atom_site_occupancy
Th1 0.680 0.995 0.273 1
Th2 0.284 0.788 0.978 1
Th3 0.799 0.758 0.635 1
Tc1 0.440 0.476 0.754 1
C1 0.237 0.882 0.447 1
Tc2 0.643 0.070 0.860 1
Th4 0.002 0.353 0.003 1
C2 0.846 0.664 0.166 1
Th5 0.403 0.551 0.341 1
Th6 0.081 0.193 0.610 1
```

Summary:
For the density of states at the Fermi level, the calculation gives 10.6 states/eV per cell. The symmetry is C2/m. As for the total DFT energy (no corrections): -85.30 eV for the cell shown.

---

# 2
VASP calculation (PBE-GGA) on an optimized crystal structure of Th2TcC.

Cell and atoms, written as CIF:
```
data_Th2TcC
_space_group_name_H-M_alt 'P 1'
_space_group_IT_number 1
_cell_length_a 3.686
_cell_length_b 3.686
_cell_length_c 7.628
_cell_angle_alpha 76.02
_cell_angle_beta 76.02
_cell_angle_gamma 60.00
loop_
_space_group_symop_operation_xyz
'x,y,z'
loop_
_atom_site_label
_atom_site_fract_x
_atom_site_fract_y
_atom_site_fract_z
_atom_site_occupancy
Th1 0.237 0.237 0.289 1
Th2 0.763 0.763 0.711 1
Tc1 0.000 0.000 0.000 1
C1 0.500 0.500 0.500 1
```

Summary:
For the density of states at the Fermi level, the calculation gives 3.7 states/eV per cell. The symmetry is R-3m. As for the total DFT energy (no corrections): -34.16 eV for the cell shown.